[1]
VASP calculation (GGA-PBE) on a relaxed structure of Li2MgZn2.

Values from the calculation:
Raw total energy in eV for the cell shown: -8.13
DOS(E_F) in states/eV per cell: 1.8
Distance to the lowest polymorph of the same formula in eV per atom: 0.110
Total magnetic moment in μB per cell: 0.00
Formation enthalpy at 0 K in eV per atom: -0.03

Lattice parameters (Å, degrees): 3.7836 3.7836 6.8692 74.01 74.01 90.00
Closest atoms and distances in Å follow each position.
Sites, in units of the cell vectors:
Mg 0.0000 0.0000 0.0000  8 Zn 2.96
Zn 0.4008 0.4008 0.1983  1 Zn 2.51, 4 Li 2.69
Zn 0.5992 0.5992 0.8017  1 Zn 2.51, 4 Li 2.69
Li 0.2500 0.7500 0.5000  4 Li 2.68, 4 Zn 2.69
Li 0.7500 0.2500 0.5000  4 Li 2.68, 4 Zn 2.69

***

[2]
VASP calculation (GGA-PBE) on a relaxed structure of LiMg4Zn.

Values from the calculation:
Raw total energy in eV for the cell shown: -8.64
DOS(E_F) in states/eV per cell: 3.0
Distance to the lowest polymorph of the same formula in eV per atom: 0.191
Total magnetic moment in μB per cell: 0.00
Formation enthalpy at 0 K in eV per atom: 0.16

Lattice parameters (Å, degrees): 5.7704 5.7704 5.7704 60.00 60.00 60.00
Closest atoms and distances in Å follow each position.
Sites, in units of the cell vectors:
Mg 0.8733 0.3756 0.3756  6 Mg 2.87-2.90
Mg 0.3756 0.3756 0.3756  6 Mg 2.87-2.90
Mg 0.3756 0.8733 0.3756  6 Mg 2.87-2.90
Mg 0.3756 0.3756 0.8733  6 Mg 2.87-2.90
Zn 0.7500 0.7500 0.7500  12 Mg 3.38, 4 Li 3.53
Li 0.0000 0.0000 0.0000  12 Mg 3.38, 4 Zn 3.53

***

[3]
VASP calculation (GGA-PBE) on a relaxed structure of Li3MgZn4.

Values from the calculation:
Raw total energy in eV for the cell shown: -27.06
DOS(E_F) in states/eV per cell: 6.3
Distance to the lowest polymorph of the same formula in eV per atom: 0.000
Total magnetic moment in μB per cell: 0.00
Formation enthalpy at 0 K in eV per atom: -0.14

Lattice parameters (Å, degrees): 4.8619 5.7512 9.0814 90.00 90.00 90.00
Closest atoms and distances in Å follow each position.
Sites, in units of the cell vectors:
Zn 0.5000 0.7595 0.0000  4 Zn 2.75-2.99, 6 Li 2.79-2.81, 2 Mg 2.85
Zn 0.1803 0.7635 0.7500  4 Zn 2.72-3.03, 6 Li 2.74-2.99, 2 Mg 2.87
Zn 0.8197 0.7635 0.2500  4 Zn 2.72-3.03, 6 Li 2.74-2.99, 2 Mg 2.87
Zn 0.8197 0.2365 0.2500  4 Zn 2.72-3.03, 6 Li 2.74-2.99, 2 Mg 2.87
Zn 0.5000 0.2405 0.0000  4 Zn 2.75-2.99, 6 Li 2.79-2.81, 2 Mg 2.85
Zn 0.5000 0.7595 0.5000  4 Zn 2.75-2.99, 6 Li 2.79-2.81, 2 Mg 2.85
Zn 0.5000 0.2405 0.5000  4 Zn 2.75-2.99, 6 Li 2.79-2.81, 2 Mg 2.85
Zn 0.1803 0.2365 0.7500  4 Zn 2.72-3.03, 6 Li 2.74-2.99, 2 Mg 2.87
Mg 0.0000 0.5000 0.0000  4 Li 2.84-2.88, 8 Zn 2.85-2.87
Mg 0.0000 0.5000 0.5000  4 Li 2.84-2.88, 8 Zn 2.85-2.87
Li 0.6728 0.0000 0.7500  8 Zn 2.75-2.82, 4 Li 2.77-2.88
Li 0.0000 0.0000 0.5000  2 Li 2.77, 8 Zn 2.79-2.80, 2 Mg 2.88
Li 0.3272 0.0000 0.2500  8 Zn 2.75-2.82, 4 Li 2.77-2.88
Li 0.0000 0.0000 0.0000  2 Li 2.77, 8 Zn 2.79-2.80, 2 Mg 2.88
Li 0.3500 0.5000 0.2500  8 Zn 2.74-2.99, 2 Mg 2.84, 2 Li 2.88
Li 0.6500 0.5000 0.7500  8 Zn 2.74-2.99, 2 Mg 2.84, 2 Li 2.88

***

[4]
VASP calculation (GGA-PBE) on a relaxed structure of Li6MgZn.

Values from the calculation:
Raw total energy in eV for the cell shown: -14.81
DOS(E_F) in states/eV per cell: 3.3
Total magnetic moment in μB per cell: 0.00
Formation enthalpy at 0 K in eV per atom: -0.06

Lattice parameters (Å, degrees): 4.2038 5.1800 7.7491 74.36 74.26 66.06
Closest atoms and distances in Å follow each position.
Sites, in units of the cell vectors:
Li 0.5079 0.2159 0.7683  2 Zn 2.79, 7 Li 2.83-3.05, 2 Mg 3.04
Li 0.2465 0.8665 0.6406  1 Zn 2.86, 8 Li 2.91-3.14, 3 Mg 2.99-3.03
Li 0.7535 0.1335 0.3594  1 Zn 2.86, 8 Li 2.91-3.14, 3 Mg 2.99-3.03
Li 0.7502 0.6117 0.8879  8 Li 2.77-3.05, 3 Zn 2.87-3.01, 1 Mg 3.03
Li 0.4921 0.7841 0.2317  2 Zn 2.79, 7 Li 2.83-3.05, 2 Mg 3.04
Li 0.2498 0.3883 0.1121  8 Li 2.77-3.05, 3 Zn 2.87-3.01, 1 Mg 3.03
Zn 0.0000 0.0000 0.0000  12 Li 2.79-3.01
Mg 0.0000 0.5000 0.5000  12 Li 2.99-3.04

***

[5]
VASP calculation (GGA-PBE) on a relaxed structure of Li5Mg5Zn.

Values from the calculation:
Raw total energy in eV for the cell shown: -18.13
DOS(E_F) in states/eV per cell: 2.3
Total magnetic moment in μB per cell: 0.00
Formation enthalpy at 0 K in eV per atom: 0.06

Lattice parameters (Å, degrees): 5.1397 5.1397 9.4952 90.00 90.00 120.00
Closest atoms and distances in Å follow each position.
Sites, in units of the cell vectors:
Li 0.8274 0.6547 0.5000  6 Li 2.48-2.66
Li 0.0000 0.0000 0.2735  1 Mg 2.60, 3 Li 2.64
Li 0.3453 0.1726 0.5000  6 Li 2.48-2.66
Li 0.8274 0.1726 0.5000  6 Li 2.48-2.66
Li 0.0000 0.0000 0.7265  1 Mg 2.60, 3 Li 2.64
Mg 0.3333 0.6667 0.6881  1 Zn 2.96, 9 Li 2.99-3.13, 3 Mg 3.24
Mg 0.6667 0.3333 0.1757  6 Li 3.11-3.40, 7 Mg 3.24-3.40, 3 Zn 3.40
Mg 0.6667 0.3333 0.8243  6 Li 3.11-3.40, 7 Mg 3.24-3.40, 3 Zn 3.40
Mg 0.0000 0.0000 0.0000  2 Li 2.60
Mg 0.3333 0.6667 0.3119  1 Zn 2.96, 9 Li 2.99-3.13, 3 Mg 3.24
Zn 0.3333 0.6667 0.0000  5 Mg 2.96-2.97

***

[6]
VASP calculation (GGA-PBE) on a relaxed structure of Li8MgZn2.

Values from the calculation:
Raw total energy in eV for the cell shown: -20.24
DOS(E_F) in states/eV per cell: 4.6
Distance to the lowest polymorph of the same formula in eV per atom: 0.000
Total magnetic moment in μB per cell: 0.00
Formation enthalpy at 0 K in eV per atom: -0.07

Lattice parameters (Å, degrees): 4.6454 7.1534 7.1570 118.73 108.94 90.00
Closest atoms and distances in Å follow each position.
Sites, in units of the cell vectors:
Li 0.3924 0.5267 0.7847  4 Li 2.75-2.96, 3 Zn 2.77-2.78, 1 Mg 2.93
Li 0.6889 0.9123 0.3778  1 Zn 2.70, 6 Li 2.75-2.88, 1 Mg 2.93
Li 0.9537 0.2739 0.9075  1 Zn 2.78, 7 Li 2.81-3.07
Li 0.0463 0.7261 0.0925  1 Zn 2.78, 7 Li 2.81-3.07
Li 0.8524 0.7803 0.7048  3 Zn 2.72-2.73, 3 Li 2.81-2.90, 2 Mg 2.94
Li 0.3111 0.0877 0.6222  1 Zn 2.70, 6 Li 2.75-2.88, 1 Mg 2.93
Li 0.6076 0.4733 0.2153  4 Li 2.75-2.96, 3 Zn 2.77-2.78, 1 Mg 2.93
Li 0.1476 0.2197 0.2952  3 Zn 2.72-2.73, 3 Li 2.81-2.90, 2 Mg 2.94
Zn 0.2305 0.6560 0.4609  8 Li 2.70-2.78
Zn 0.7695 0.3440 0.5391  8 Li 2.70-2.78
Mg 0.5000 0.0000 0.0000  8 Li 2.93-2.94, 2 Zn 3.20

***

[7]
VASP calculation (GGA-PBE) on a relaxed structure of Li3Mg4Zn.

Values from the calculation:
Raw total energy in eV for the cell shown: -13.48
DOS(E_F) in states/eV per cell: 2.9
Distance to the lowest polymorph of the same formula in eV per atom: 0.062
Total magnetic moment in μB per cell: 0.00
Formation enthalpy at 0 K in eV per atom: -0.01

Lattice parameters (Å, degrees): 3.9152 3.3191 12.9473 97.53 98.70 90.00
Closest atoms and distances in Å follow each position.
Sites, in units of the cell vectors:
Li 0.1529 0.1520 0.3058  9 Mg 3.01-3.34, 2 Li 3.32
Li 0.8471 0.8480 0.6942  9 Mg 3.01-3.34, 2 Li 3.32
Li 0.0000 0.5000 0.0000  4 Zn 2.57
Mg 0.7153 0.7150 0.4305  5 Li 3.01-3.34, 7 Mg 3.11-3.32
Mg 0.4104 0.4121 0.8208  2 Zn 2.81-2.82, 6 Li 3.00-3.03
Mg 0.2847 0.2850 0.5695  5 Li 3.01-3.34, 7 Mg 3.11-3.32
Mg 0.5896 0.5879 0.1792  2 Zn 2.81-2.82, 6 Li 3.00-3.03
Zn 0.5000 0.0000 0.0000  4 Li 2.57, 4 Mg 2.81-2.82

***

[8]
VASP calculation (GGA-PBE) on a relaxed structure of Li7Mg4Zn.

Values from the calculation:
Raw total energy in eV for the cell shown: -21.74
DOS(E_F) in states/eV per cell: 6.2
Total magnetic moment in μB per cell: 0.00
Formation enthalpy at 0 K in eV per atom: -0.06

Lattice parameters (Å, degrees): 4.7653 4.7653 11.6440 90.00 90.00 120.00
Closest atoms and distances in Å follow each position.
Sites, in units of the cell vectors:
Mg 0.6667 0.3333 0.3440  7 Li 2.72-2.94
Mg 0.3333 0.6667 0.6560  7 Li 2.72-2.94
Mg 0.6667 0.3333 0.0800  7 Li 2.90-2.98, 1 Mg 3.07
Mg 0.3333 0.6667 0.9200  7 Li 2.90-2.98, 1 Mg 3.07
Zn 0.0000 0.0000 0.5000  8 Li 2.84-2.90
Li 0.6667 0.3333 0.5777  4 Mg 2.72-2.90, 1 Li 2.87, 3 Zn 2.90
Li 0.3333 0.6667 0.1761  4 Li 2.87-2.90, 4 Mg 2.97-2.98
Li 0.3333 0.6667 0.4223  4 Mg 2.72-2.90, 1 Li 2.87, 3 Zn 2.90
Li 0.6667 0.3333 0.8239  4 Li 2.87-2.90, 4 Mg 2.97-2.98
Li 0.0000 0.0000 0.0000  6 Mg 2.90, 2 Li 2.98
Li 0.0000 0.0000 0.2560  1 Zn 2.84, 4 Li 2.90-2.98, 3 Mg 2.94
Li 0.0000 0.0000 0.7440  1 Zn 2.84, 4 Li 2.90-2.98, 3 Mg 2.94

***

[9]
VASP calculation (GGA-PBE) on a relaxed structure of Li2Mg3Zn3.

Values from the calculation:
Raw total energy in eV for the cell shown: -13.08
DOS(E_F) in states/eV per cell: 1.6
Distance to the lowest polymorph of the same formula in eV per atom: 0.016
Total magnetic moment in μB per cell: 0.00
Formation enthalpy at 0 K in eV per atom: -0.08

Lattice parameters (Å, degrees): 4.5369 4.4496 7.5059 107.24 107.65 90.00
Closest atoms and distances in Å follow each position.
Sites, in units of the cell vectors:
Mg 0.0000 0.0000 0.0000  8 Zn 2.88-3.18, 4 Mg 2.90
Mg 0.3671 0.8672 0.7343  4 Li 2.74-2.77, 2 Zn 2.87, 2 Mg 2.90
Mg 0.6329 0.1328 0.2657  4 Li 2.74-2.77, 2 Zn 2.87, 2 Mg 2.90
Zn 0.1341 0.6348 0.2697  4 Li 2.72-2.76, 2 Mg 2.88, 2 Zn 2.91-2.92
Zn 0.8659 0.3652 0.7303  4 Li 2.72-2.76, 2 Mg 2.88, 2 Zn 2.91-2.92
Zn 0.5000 0.5000 0.0000  8 Mg 2.87-3.18, 4 Zn 2.91-2.92
Li 0.2502 0.2497 0.4994  4 Zn 2.72-2.76, 4 Mg 2.74-2.77
Li 0.7498 0.7503 0.5006  4 Zn 2.72-2.76, 4 Mg 2.74-2.77

***

[10]
VASP calculation (GGA-PBE) on a relaxed structure of Li3Mg4Zn2.

Values from the calculation:
Raw total energy in eV for the cell shown: -15.80
DOS(E_F) in states/eV per cell: 3.3
Total magnetic moment in μB per cell: 0.00
Formation enthalpy at 0 K in eV per atom: -0.13

Lattice parameters (Å, degrees): 4.6799 4.6798 8.7093 90.01 90.01 59.98
Closest atoms and distances in Å follow each position.
Sites, in units of the cell vectors:
Li 0.0000 0.0000 0.0000  8 Mg 2.82-2.89
Li 0.6665 0.6670 0.5405  3 Li 2.79, 1 Zn 2.79, 4 Mg 2.95-2.99
Li 0.3335 0.3330 0.4595  3 Li 2.79, 1 Zn 2.79, 4 Mg 2.95-2.99
Mg 0.0005 0.9991 0.3241  4 Li 2.82-2.95, 3 Zn 2.85, 1 Mg 3.06
Mg 0.3337 0.3327 0.1163  4 Zn 2.85-2.93, 4 Li 2.88-2.99
Mg 0.9995 0.0009 0.6759  4 Li 2.82-2.95, 3 Zn 2.85, 1 Mg 3.06
Mg 0.6663 0.6673 0.8837  4 Zn 2.85-2.93, 4 Li 2.88-2.99
Zn 0.3329 0.3342 0.7799  1 Li 2.79, 7 Mg 2.85-2.93
Zn 0.6671 0.6658 0.2201  1 Li 2.79, 7 Mg 2.85-2.93

***

[11]
VASP calculation (GGA-PBE) on a relaxed structure of Li12Mg7Zn.

Values from the calculation:
Raw total energy in eV for the cell shown: -35.43
DOS(E_F) in states/eV per cell: 9.4
Distance to the lowest polymorph of the same formula in eV per atom: 0.000
Total magnetic moment in μB per cell: 0.00
Formation enthalpy at 0 K in eV per atom: 0.00

Lattice parameters (Å, degrees): 7.4031 7.4031 7.4031 93.30 93.30 93.30
Closest atoms and distances in Å follow each position.
Sites, in units of the cell vectors:
Li 0.5095 0.3753 0.8577  3 Li 2.63-2.78, 1 Mg 2.85
Li 0.2515 0.7448 0.8773  2 Li 2.63-2.78, 1 Zn 2.87
Li 0.4905 0.6247 0.1423  3 Li 2.63-2.78, 1 Mg 2.85
Li 0.8773 0.2515 0.7448  2 Li 2.63-2.78, 1 Zn 2.87
Li 0.8577 0.5095 0.3753  3 Li 2.63-2.78, 1 Mg 2.85
Li 0.3753 0.8577 0.5095  3 Li 2.63-2.78, 1 Mg 2.85
Li 0.7448 0.8773 0.2515  2 Li 2.63-2.78, 1 Zn 2.87
Li 0.6247 0.1423 0.4905  3 Li 2.63-2.78, 1 Mg 2.85
Li 0.1227 0.7485 0.2552  2 Li 2.63-2.78, 1 Zn 2.87
Li 0.1423 0.4905 0.6247  3 Li 2.63-2.78, 1 Mg 2.85
Li 0.2552 0.1227 0.7485  2 Li 2.63-2.78, 1 Zn 2.87
Li 0.7485 0.2552 0.1227  2 Li 2.63-2.78, 1 Zn 2.87
Mg 0.9399 0.8496 0.6188  1 Zn 2.97, 7 Li 3.02-3.15, 3 Mg 3.04-3.09
Mg 0.0601 0.1504 0.3812  1 Zn 2.97, 7 Li 3.02-3.15, 3 Mg 3.04-3.09
Mg 0.1504 0.3812 0.0601  1 Zn 2.97, 7 Li 3.02-3.15, 3 Mg 3.04-3.09
Mg 0.5000 0.5000 0.5000  6 Li 2.85
Mg 0.6188 0.9399 0.8496  1 Zn 2.97, 7 Li 3.02-3.15, 3 Mg 3.04-3.09
Mg 0.8496 0.6188 0.9399  1 Zn 2.97, 7 Li 3.02-3.15, 3 Mg 3.04-3.09
Mg 0.3812 0.0601 0.1504  1 Zn 2.97, 7 Li 3.02-3.15, 3 Mg 3.04-3.09
Zn 0.0000 0.0000 0.0000  6 Li 2.87, 6 Mg 2.97

***

[12]
VASP calculation (GGA-PBE) on a relaxed structure of LiMg4Zn5.

Values from the calculation:
Raw total energy in eV for the cell shown: -15.60
DOS(E_F) in states/eV per cell: 3.2
Total magnetic moment in μB per cell: 0.00
Formation enthalpy at 0 K in eV per atom: -0.09

Lattice parameters (Å, degrees): 3.2319 3.2319 16.7070 90.00 90.00 90.00
Closest atoms and distances in Å follow each position.
Sites, in units of the cell vectors:
Zn 0.5000 0.5000 0.2953  8 Mg 2.86-2.88
Zn 0.5000 0.5000 0.0844  4 Li 2.69, 1 Zn 2.82, 4 Mg 2.89
Zn 0.5000 0.5000 0.5000  8 Mg 2.85
Zn 0.5000 0.5000 0.7047  8 Mg 2.86-2.88
Zn 0.5000 0.5000 0.9156  4 Li 2.69, 1 Zn 2.82, 4 Mg 2.89
Mg 0.0000 0.0000 0.8097  8 Zn 2.88-2.89, 1 Li 3.18
Mg 0.0000 0.0000 0.1903  8 Zn 2.88-2.89, 1 Li 3.18
Mg 0.0000 0.0000 0.6022  8 Zn 2.85-2.86
Mg 0.0000 0.0000 0.3978  8 Zn 2.85-2.86
Li 0.0000 0.0000 0.0000  8 Zn 2.69